Mn2AlB2 | PBE-GGA | relaxed

a = 5.7143 Å, b = 5.7143 Å, c = 2.8331 Å
α = 90.00°, β = 90.00°, γ = 150.68°
Site moments in Bohr magnetons follow the coordinates.
Positions (direct):
Al1 0.0000 0.0000 0.0000  -0.01
Mn1 0.3549 0.6451 0.5000  0.43
Mn2 0.6451 0.3549 0.5000  0.43
B1 0.2060 0.7940 0.0000  -0.02
B2 0.7940 0.2060 0.0000  -0.02

Summary:
spin magnetization = 0.79 μB per formula unit
formation energy from the elements = -45 kJ per mole of atoms
distance to the lowest polymorph of the same formula = 0 meV per atom
final energy = -37.8 eV/cell